Material: ZrPaNO
Method: DFT, PBE-GGA
State: optimized geometry

Values from the calculation:
Total energy: -9.021 eV/atom
Calculated density: 8.47 g/cm3
Space group: Pmc2_1
ΔE to the lowest computed polymorph: 219 meV per atom

a = 3.6221 Å, b = 6.1614 Å, c = 6.1877 Å
α = 90.00°, β = 90.00°, γ = 90.00°
Fractional coordinates of all 8 atoms:
Zr1 0.0000 0.1738 0.0000
Zr2 0.0000 0.8262 0.5000
Pa1 0.5000 0.3293 0.5193
Pa2 0.5000 0.6707 0.0193
N1 0.0000 0.1500 0.6617
N2 0.0000 0.8500 0.1617
O1 0.5000 0.3131 0.1569
O2 0.5000 0.6869 0.6569


Material: SmNbNO
Method: DFT, PBE-GGA
State: optimized geometry

Values from the calculation:
Total energy: -8.630 eV/atom
Calculated density: 7.83 g/cm3
Space group: Pmc2_1
ΔE to the lowest computed polymorph: 90 meV per atom

a = 4.0498 Å, b = 5.5137 Å, c = 5.1927 Å
α = 90.00°, β = 90.00°, γ = 90.00°
Fractional coordinates of all 8 atoms:
Sm1 0.0000 0.2335 0.0000
Sm2 0.0000 0.7665 0.5000
Nb1 0.5000 0.2944 0.5040
Nb2 0.5000 0.7056 0.0040
N1 0.0000 0.3254 0.5033
N2 0.0000 0.6746 0.0033
O1 0.5000 0.0102 0.7708
O2 0.5000 0.9898 0.2708